Here is a relaxed SmHoNO crystal from the Open Quantum Materials Database. Energies are from PBE.

The structure belongs to space group Pbcm (No. 57); the cell edges are 8.130, 6.695 and 4.976 Å and the angles 90.00°, 90.00° and 90.00°. Symmetry generates all atoms from Sm at (0.124, 0.069, 0.250), Ho at (0.377, 0.584, 0.250), N at (0.381, 0.577, 0.750) and O at (0.141, 0.089, 0.750).

The value obtained for the excess energy over the best structure of this formula in the dataset is 0.059 eV/atom. The total energy is -125.043 eV for the cell shown.

***

Here is a relaxed SmHoNO crystal from the Open Quantum Materials Database. Energies are from PBE.

The structure belongs to space group P4/mmm (No. 123); the cell edges are 3.481, 3.481 and 4.860 Å and the angles 90.00°, 90.00° and 90.00°. Symmetry generates all atoms from Sm at (0.000, 0.000, 0.000), Ho at (0.500, 0.500, 0.500), N at (0.500, 0.500, 0.000) and O at (0.000, 0.000, 0.500).

The value obtained for the excess energy over the best structure of this formula in the dataset is 0.000 eV/atom. The total energy is -31.497 eV for the cell shown.

***

Here is a relaxed SmHoNO crystal from the Open Quantum Materials Database. Energies are from PBE.

The structure belongs to space group Pmma (No. 51); the cell edges are 4.920, 4.016 and 6.939 Å and the angles 90.00°, 90.00° and 90.00°. Symmetry generates all atoms from Sm at (0.250, 0.000, 0.164), Ho at (0.250, 0.500, 0.667), N at (0.250, 0.500, 0.343) and O at (0.250, 0.000, 0.812).

The value obtained for the excess energy over the best structure of this formula in the dataset is 0.042 eV/atom. The total energy is -62.660 eV for the cell shown.

***

Here is a relaxed SmHoNO crystal from the Open Quantum Materials Database. Energies are from PBE.

The structure belongs to space group P4/nmm (No. 129, origin choice 2); the cell edges are 4.325, 4.325 and 7.375 Å and the angles 90.00°, 90.00° and 90.00°. Symmetry generates all atoms from Sm at (0.250, 0.750, 0.000), Ho at (0.250, 0.250, 0.413), N at (0.250, 0.250, 0.845) and O at (0.250, 0.750, 0.500).

The value obtained for the excess energy over the best structure of this formula in the dataset is 0.595 eV/atom. The total energy is -58.234 eV for the cell shown.

***

Here is a relaxed SmHoNO crystal from the Open Quantum Materials Database. Energies are from PBE.

The structure belongs to space group P4/nmm (No. 129, origin choice 2); the cell edges are 4.393, 4.393 and 8.382 Å and the angles 90.00°, 90.00° and 90.00°. Symmetry generates all atoms from Sm at (0.250, 0.250, 0.103), Ho at (0.250, 0.750, 0.500), N at (0.250, 0.250, 0.572) and O at (0.250, 0.750, 0.000).

The value obtained for the excess energy over the best structure of this formula in the dataset is 0.441 eV/atom. The total energy is -59.468 eV for the cell shown.

***

Here is a relaxed HoSnNO crystal from the Open Quantum Materials Database. Energies are from PBE.

The structure belongs to space group P4/nmm (No. 129, origin choice 2); the cell edges are 4.318, 4.318 and 7.794 Å and the angles 90.00°, 90.00° and 90.00°. Symmetry generates all atoms from Ho at (0.250, 0.750, 0.000), Sn at (0.250, 0.250, 0.383), N at (0.250, 0.250, 0.910) and O at (0.250, 0.750, 0.500).

The value obtained for the excess energy over the best structure of this formula in the dataset is 0.476 eV/atom. The total energy is -51.647 eV for the cell shown.